# 1
# La2PmHo4Tm | Alexandria via LeMat-Bulk | PBE-GGA | optimized geometry
# **Symmetry**: C2/m
# **Energy**: -0.34188 Ry/atom
# **Theoretical density**: 7.95 Mg/m³
# **N(E_F)**: 22.49 states/eV per cell
data_La2PmHo4Tm
_cell_length_a 7.180
_cell_length_b 7.180
_cell_length_c 12.397
_cell_angle_alpha 106.73
_cell_angle_beta 106.73
_cell_angle_gamma 60.11
_symmetry_space_group_name_H-M 'P 1'
_symmetry_Int_Tables_number 1
_symmetry_space_group_name_Hall 'P 1'
loop_
_atom_site_label
_atom_site_fract_x
_atom_site_fract_y
_atom_site_fract_z
La1 0.000 0.000 0.000
La2 0.000 0.000 0.500
La3 0.000 0.500 0.000
La4 0.500 0.000 0.000
Pm1 0.500 0.500 0.000
Pm2 0.500 0.500 0.500
Ho1 0.249 0.748 0.747
Ho2 0.250 0.250 0.746
Ho3 0.251 0.251 0.254
Ho4 0.252 0.751 0.253
Ho5 0.748 0.249 0.747
Ho6 0.749 0.749 0.746
Ho7 0.750 0.750 0.254
Ho8 0.751 0.252 0.253
Tm1 0.000 0.500 0.500
Tm2 0.500 0.000 0.500



# 2
# LaPmHo2Tm5 | Alexandria via LeMat-Bulk | PBE-GGA | optimized geometry
# **Symmetry**: I4/mcm
# **Energy**: -0.31596 Ry/atom
# **Theoretical density**: 8.35 Mg/m³
# **N(E_F)**: 22.98 states/eV per cell
data_LaPmHo2Tm5
_cell_length_a 9.701
_cell_length_b 9.701
_cell_length_c 9.701
_cell_angle_alpha 125.80
_cell_angle_beta 125.80
_cell_angle_gamma 80.22
_symmetry_space_group_name_H-M 'P 1'
_symmetry_Int_Tables_number 1
_symmetry_space_group_name_Hall 'P 1'
loop_
_atom_site_label
_atom_site_fract_x
_atom_site_fract_y
_atom_site_fract_z
La1 0.250 0.250 0.000
La2 0.750 0.750 0.000
Pm1 0.250 0.750 0.500
Pm2 0.750 0.250 0.500
Ho1 0.114 0.614 0.728
Ho2 0.386 0.114 0.500
Ho3 0.614 0.886 0.500
Ho4 0.886 0.386 0.272
Tm1 0.000 0.000 0.000
Tm2 0.073 0.166 0.500
Tm3 0.166 0.666 0.092
Tm4 0.334 0.427 0.500
Tm5 0.427 0.927 0.092
Tm6 0.500 0.500 0.000
Tm7 0.573 0.073 0.908
Tm8 0.666 0.573 0.500
Tm9 0.834 0.334 0.908
Tm10 0.927 0.834 0.500



# 3
# LaPm5Ho2Tm | Alexandria via LeMat-Bulk | PBE-GGA | optimized geometry
# **Symmetry**: Cmc2_1
# **Energy**: -0.33428 Ry/atom
# **Theoretical density**: 7.39 Mg/m³
# **N(E_F)**: 28.85 states/eV per cell
data_LaPm5Ho2Tm
_cell_length_a 10.477
_cell_length_b 10.477
_cell_length_c 10.647
_cell_angle_alpha 90.00
_cell_angle_beta 90.00
_cell_angle_gamma 148.41
_symmetry_space_group_name_H-M 'P 1'
_symmetry_Int_Tables_number 1
_symmetry_space_group_name_Hall 'P 1'
loop_
_atom_site_label
_atom_site_fract_x
_atom_site_fract_y
_atom_site_fract_z
La1 0.084 0.916 0.500
La2 0.916 0.084 0.000
Pm1 0.019 0.981 0.788
Pm2 0.116 0.884 0.069
Pm3 0.203 0.797 0.754
Pm4 0.220 0.780 0.362
Pm5 0.483 0.517 0.069
Pm6 0.517 0.483 0.569
Pm7 0.780 0.220 0.862
Pm8 0.797 0.203 0.254
Pm9 0.884 0.116 0.569
Pm10 0.981 0.019 0.288
Ho1 0.385 0.615 0.365
Ho2 0.386 0.614 0.780
Ho3 0.614 0.386 0.280
Ho4 0.615 0.385 0.865
Tm1 0.301 0.699 0.058
Tm2 0.699 0.301 0.558



# 4
# La4Pm2HoTm2 | Alexandria via LeMat-Bulk | PBE-GGA | optimized geometry
# **Symmetry**: C2/m
# **Energy**: -0.34661 Ry/atom
# **Theoretical density**: 7.26 Mg/m³
# **N(E_F)**: 16.10 states/eV per cell
data_La4Pm2HoTm2
_cell_length_a 8.188
_cell_length_b 8.188
_cell_length_c 8.079
_cell_angle_alpha 107.67
_cell_angle_beta 107.67
_cell_angle_gamma 36.94
_symmetry_space_group_name_H-M 'P 1'
_symmetry_Int_Tables_number 1
_symmetry_space_group_name_Hall 'P 1'
loop_
_atom_site_label
_atom_site_fract_x
_atom_site_fract_y
_atom_site_fract_z
La1 0.054 0.054 0.327
La2 0.277 0.277 0.670
La3 0.723 0.723 0.330
La4 0.946 0.946 0.673
Pm1 0.388 0.388 0.329
Pm2 0.612 0.612 0.671
Ho1 0.500 0.500 0.000
Tm1 0.167 0.167 0.000
Tm2 0.833 0.833 0.000



# 5
# La4PmHo2Tm | Alexandria via LeMat-Bulk | PBE-GGA | optimized geometry
# **Symmetry**: C2/m
# **Energy**: -0.34831 Ry/atom
# **Theoretical density**: 7.27 Mg/m³
# **N(E_F)**: 11.92 states/eV per cell
data_La4PmHo2Tm
_cell_length_a 6.233
_cell_length_b 6.233
_cell_length_c 7.394
_cell_angle_alpha 90.07
_cell_angle_beta 90.07
_cell_angle_gamma 72.54
_symmetry_space_group_name_H-M 'P 1'
_symmetry_Int_Tables_number 1
_symmetry_space_group_name_Hall 'P 1'
loop_
_atom_site_label
_atom_site_fract_x
_atom_site_fract_y
_atom_site_fract_z
La1 0.000 0.500 0.249
La2 0.000 0.500 0.751
La3 0.500 0.000 0.249
La4 0.500 0.000 0.751
Pm1 0.000 0.000 0.500
Ho1 0.000 0.000 0.000
Ho2 0.500 0.500 0.500
Tm1 0.500 0.500 0.000



# 6
# La6PmHo2Tm | Alexandria via LeMat-Bulk | PBE-GGA | optimized geometry
# **Symmetry**: C2/c
# **Energy**: -0.34409 Ry/atom
# **Theoretical density**: 7.06 Mg/m³
# **N(E_F)**: 23.73 states/eV per cell
data_La6PmHo2Tm
_cell_length_a 9.093
_cell_length_b 9.093
_cell_length_c 9.232
_cell_angle_alpha 90.94
_cell_angle_beta 90.94
_cell_angle_gamma 114.41
_symmetry_space_group_name_H-M 'P 1'
_symmetry_Int_Tables_number 1
_symmetry_space_group_name_Hall 'P 1'
loop_
_atom_site_label
_atom_site_fract_x
_atom_site_fract_y
_atom_site_fract_z
La1 0.037 0.474 0.680
La2 0.066 0.784 0.901
La3 0.216 0.934 0.599
La4 0.277 0.571 0.088
La5 0.429 0.723 0.412
La6 0.474 0.037 0.180
La7 0.526 0.963 0.820
La8 0.571 0.277 0.588
La9 0.723 0.429 0.912
La10 0.784 0.066 0.401
La11 0.934 0.216 0.099
La12 0.963 0.526 0.320
Pm1 0.074 0.926 0.250
Pm2 0.926 0.074 0.750
Ho1 0.207 0.298 0.434
Ho2 0.298 0.207 0.934
Ho3 0.702 0.793 0.066
Ho4 0.793 0.702 0.566
Tm1 0.438 0.562 0.750
Tm2 0.562 0.438 0.250



# 7
# LaPmHo4Tm2 | Alexandria via LeMat-Bulk | PBE-GGA | optimized geometry
# **Symmetry**: Pmmm
# **Energy**: -0.33745 Ry/atom
# **Theoretical density**: 8.34 Mg/m³
# **N(E_F)**: 21.87 states/eV per cell
data_LaPmHo4Tm2
_cell_length_a 7.133
_cell_length_b 7.142
_cell_length_c 10.019
_cell_angle_alpha 90.00
_cell_angle_beta 90.00
_cell_angle_gamma 90.00
_symmetry_space_group_name_H-M 'P 1'
_symmetry_Int_Tables_number 1
_symmetry_space_group_name_Hall 'P 1'
loop_
_atom_site_label
_atom_site_fract_x
_atom_site_fract_y
_atom_site_fract_z
La1 0.000 0.000 0.000
La2 0.000 0.500 0.000
Pm1 0.000 0.000 0.500
Pm2 0.500 0.000 0.000
Ho1 0.253 0.252 0.254
Ho2 0.253 0.252 0.746
Ho3 0.253 0.748 0.254
Ho4 0.253 0.748 0.746
Ho5 0.747 0.252 0.254
Ho6 0.747 0.252 0.746
Ho7 0.747 0.748 0.254
Ho8 0.747 0.748 0.746
Tm1 0.000 0.500 0.500
Tm2 0.500 0.000 0.500
Tm3 0.500 0.500 0.000
Tm4 0.500 0.500 0.500



# 8
# LaPmHoTm | Alexandria via LeMat-Bulk | PBE-GGA | optimized geometry
# **Energy above the lowest structure with this stoichiometry**: 0.00 eV per formula unit
# **Symmetry**: F-43m
# **Energy**: -0.33721 Ry/atom
# **Theoretical density**: 7.65 Mg/m³
# **N(E_F)**: 7.06 states/eV per cell
data_LaPmHoTm
_cell_length_a 5.745
_cell_length_b 5.745
_cell_length_c 5.745
_cell_angle_alpha 60.00
_cell_angle_beta 60.00
_cell_angle_gamma 60.00
_symmetry_space_group_name_H-M 'P 1'
_symmetry_Int_Tables_number 1
_symmetry_space_group_name_Hall 'P 1'
loop_
_atom_site_label
_atom_site_fract_x
_atom_site_fract_y
_atom_site_fract_z
La1 0.000 0.000 0.000
Pm1 0.500 0.500 0.500
Ho1 0.250 0.250 0.250
Tm1 0.750 0.750 0.750



# 9
# La2Pm3Y6Ho | Alexandria via LeMat-Bulk | PBE-GGA | optimized geometry
# **Symmetry**: C2/m
# **Energy**: -0.41229 Ry/atom
# **Theoretical density**: 5.86 Mg/m³
# **N(E_F)**: 15.00 states/eV per cell
data_La2Pm3Y6Ho
_cell_length_a 6.274
_cell_length_b 6.274
_cell_length_c 11.909
_cell_angle_alpha 95.02
_cell_angle_beta 95.02
_cell_angle_gamma 119.99
_symmetry_space_group_name_H-M 'P 1'
_symmetry_Int_Tables_number 1
_symmetry_space_group_name_Hall 'P 1'
loop_
_atom_site_label
_atom_site_fract_x
_atom_site_fract_y
_atom_site_fract_z
La1 0.166 0.834 0.000
La2 0.834 0.166 0.000
Pm1 0.000 0.000 0.500
Pm2 0.333 0.667 0.500
Pm3 0.667 0.333 0.500
Y1 0.084 0.416 0.749
Y2 0.252 0.252 0.251
Y3 0.416 0.084 0.749
Y4 0.584 0.916 0.251
Y5 0.748 0.748 0.749
Y6 0.916 0.584 0.251
Ho1 0.500 0.500 0.000



# 10
# La2PmY3Ho6 | Alexandria via LeMat-Bulk | PBE-GGA | optimized geometry
# **Symmetry**: C2/m
# **Energy**: -0.37473 Ry/atom
# **Theoretical density**: 7.14 Mg/m³
# **N(E_F)**: 17.09 states/eV per cell
data_La2PmY3Ho6
_cell_length_a 6.216
_cell_length_b 6.216
_cell_length_c 11.847
_cell_angle_alpha 95.01
_cell_angle_beta 95.01
_cell_angle_gamma 119.99
_symmetry_space_group_name_H-M 'P 1'
_symmetry_Int_Tables_number 1
_symmetry_space_group_name_Hall 'P 1'
loop_
_atom_site_label
_atom_site_fract_x
_atom_site_fract_y
_atom_site_fract_z
La1 0.167 0.833 0.000
La2 0.833 0.167 0.000
Pm1 0.500 0.500 0.000
Y1 0.000 0.000 0.500
Y2 0.334 0.666 0.500
Y3 0.666 0.334 0.500
Ho1 0.082 0.415 0.746
Ho2 0.253 0.253 0.254
Ho3 0.415 0.082 0.746
Ho4 0.585 0.918 0.254
Ho5 0.747 0.747 0.746
Ho6 0.918 0.585 0.254



# 11
# La2PmY6Ho2 | Alexandria via LeMat-Bulk | PBE-GGA | optimized geometry
# **Symmetry**: Cmmm
# **Energy**: -0.40796 Ry/atom
# **Theoretical density**: 5.81 Mg/m³
# **N(E_F)**: 17.67 states/eV per cell
data_La2PmY6Ho2
_cell_length_a 6.737
_cell_length_b 6.737
_cell_length_c 10.488
_cell_angle_alpha 90.00
_cell_angle_beta 90.00
_cell_angle_gamma 129.50
_symmetry_space_group_name_H-M 'P 1'
_symmetry_Int_Tables_number 1
_symmetry_space_group_name_Hall 'P 1'
loop_
_atom_site_label
_atom_site_fract_x
_atom_site_fract_y
_atom_site_fract_z
La1 0.212 0.788 0.000
La2 0.788 0.212 0.000
Pm1 0.500 0.500 0.000
Y1 0.000 0.000 0.208
Y2 0.000 0.000 0.792
Y3 0.350 0.650 0.307
Y4 0.350 0.650 0.693
Y5 0.650 0.350 0.307
Y6 0.650 0.350 0.693
Ho1 0.130 0.870 0.500
Ho2 0.870 0.130 0.500



# 12
# La3PmY2Ho6 | Alexandria via LeMat-Bulk | PBE-GGA | optimized geometry
# **Symmetry**: C2/m
# **Energy**: -0.36550 Ry/atom
# **Theoretical density**: 7.29 Mg/m³
# **N(E_F)**: 16.24 states/eV per cell
data_La3PmY2Ho6
_cell_length_a 6.241
_cell_length_b 6.241
_cell_length_c 11.865
_cell_angle_alpha 95.02
_cell_angle_beta 95.02
_cell_angle_gamma 120.00
_symmetry_space_group_name_H-M 'P 1'
_symmetry_Int_Tables_number 1
_symmetry_space_group_name_Hall 'P 1'
loop_
_atom_site_label
_atom_site_fract_x
_atom_site_fract_y
_atom_site_fract_z
La1 0.000 0.000 0.000
La2 0.333 0.667 0.000
La3 0.667 0.333 0.000
Pm1 0.500 0.500 0.500
Y1 0.167 0.833 0.500
Y2 0.833 0.167 0.500
Ho1 0.085 0.418 0.254
Ho2 0.249 0.249 0.746
Ho3 0.418 0.085 0.254
Ho4 0.582 0.915 0.746
Ho5 0.751 0.751 0.254
Ho6 0.915 0.582 0.746